Entry 1:
Compound: Nd2SmIr
Source: Alexandria
Functional: GGA-PBE
Structure: optimized geometry

Computed properties:
The density of states at the Fermi level is 1.48 states/eV/atom. The polymorph energy (0 for the lowest one) comes out at 0.399 eV/atom. For the formation energy, the calculation gives -1.4 kcal/mol of atoms. The electronic total energy comes out at -5.838 eV per atom. As for the crystal system: trigonal.

Cell lengths 3.8672, 3.8672, 32.2093 Å; angles 90.00, 90.00, 120.00 degrees
Element x y z (fractional)
Nd1 0.0000 0.0000 0.1132
Nd2 0.0000 0.0000 0.8868
Nd3 0.3333 0.6667 0.5535
Nd4 0.3333 0.6667 0.7798
Nd5 0.6667 0.3333 0.2202
Nd6 0.6667 0.3333 0.4465
Sm1 0.0000 0.0000 0.0000
Sm2 0.3333 0.6667 0.6667
Sm3 0.6667 0.3333 0.3333
Ir1 0.0000 0.0000 0.5000
Ir2 0.3333 0.6667 0.1667
Ir3 0.6667 0.3333 0.8333

Entry 2:
Compound: NdSm3Ir8
Source: Alexandria
Functional: GGA-PBE
Structure: optimized geometry

Computed properties:
The density of states at the Fermi level is 0.81 states/eV/atom. For the formation energy, the calculation gives -16.9 kcal/mol of atoms. The electronic total energy comes out at -8.216 eV per atom. As for the crystal system: trigonal.

Cell lengths 9.3795, 9.3795, 9.3795 Å; angles 33.59, 33.59, 33.59 degrees
Element x y z (fractional)
Nd1 0.0000 0.0000 0.0000
Sm1 0.3752 0.3752 0.3752
Sm2 0.5001 0.5001 0.5001
Sm3 0.8750 0.8750 0.8750
Ir1 0.1876 0.1876 0.1876
Ir2 0.4374 0.4374 0.9371
Ir3 0.4374 0.9371 0.4374
Ir4 0.4382 0.9377 0.9377
Ir5 0.6876 0.6876 0.6876
Ir6 0.9371 0.4374 0.4374
Ir7 0.9377 0.4382 0.9377
Ir8 0.9377 0.9377 0.4382

Entry 3:
Compound: Nd5Sm3Ir2
Source: Alexandria
Functional: GGA-PBE
Structure: optimized geometry

Computed properties:
The density of states at the Fermi level is 1.11 states/eV/atom. For the formation energy, the calculation gives -3.5 kcal/mol of atoms. The electronic total energy comes out at -5.722 eV per atom. As for the crystal system: orthorhombic.

Cell lengths 10.2411, 10.2411, 10.2411 Å; angles 101.15, 92.34, 139.98 degrees
Element x y z (fractional)
Nd1 0.0141 0.2500 0.7641
Nd2 0.0633 0.2064 0.2697
Nd3 0.2500 0.2500 0.0000
Nd4 0.4367 0.7064 0.1432
Nd5 0.4859 0.2500 0.2359
Nd6 0.5141 0.7500 0.7641
Nd7 0.5633 0.2936 0.8568
Nd8 0.7500 0.7500 0.0000
Nd9 0.9367 0.7936 0.7303
Nd10 0.9859 0.7500 0.2359
Sm1 0.1886 0.7544 0.9430
Sm2 0.2500 0.7500 0.5000
Sm3 0.3114 0.2544 0.5658
Sm4 0.6886 0.7456 0.4342
Sm5 0.7500 0.2500 0.5000
Sm6 0.8114 0.2456 0.0570
Ir1 0.1468 0.3925 0.5393
Ir2 0.3532 0.8925 0.2457
Ir3 0.6468 0.1075 0.7543
Ir4 0.8532 0.6075 0.4607

Entry 4:
Compound: NdSmIr
Source: Alexandria
Functional: GGA-PBE
Structure: optimized geometry

Computed properties:
The density of states at the Fermi level is 0.96 states/eV/atom. The polymorph energy (0 for the lowest one) comes out at 0.121 eV/atom. For the formation energy, the calculation gives -10.0 kcal/mol of atoms. The electronic total energy comes out at -6.548 eV per atom. As for the crystal system: tetragonal.

Cell lengths 3.5619, 3.5619, 13.2983 Å; angles 90.00, 90.00, 90.00 degrees
Element x y z (fractional)
Nd1 0.0000 0.0000 0.0000
Nd2 0.5000 0.5000 0.5000
Sm1 0.0000 0.0000 0.2491
Sm2 0.5000 0.5000 0.7491
Ir1 0.0000 0.0000 0.6272
Ir2 0.5000 0.5000 0.1272

Entry 5:
Compound: NdSmIr
Source: Alexandria
Functional: GGA-PBE
Structure: optimized geometry

Computed properties:
The density of states at the Fermi level is 0.72 states/eV/atom. The polymorph energy (0 for the lowest one) comes out at 0.063 eV/atom. For the formation energy, the calculation gives -11.3 kcal/mol of atoms. The electronic total energy comes out at -6.605 eV per atom. As for the crystal system: trigonal.

Cell lengths 4.2045, 4.2045, 6.3731 Å; angles 90.00, 90.00, 120.00 degrees
Element x y z (fractional)
Nd1 0.0000 0.0000 0.0000
Sm1 0.6667 0.3333 0.4567
Ir1 0.3333 0.6667 0.2323

Entry 6:
Compound: Nd2SmIr
Source: Alexandria
Functional: GGA-PBE
Structure: optimized geometry

Computed properties:
The density of states at the Fermi level is 1.18 states/eV/atom. The polymorph energy (0 for the lowest one) comes out at 0.000 eV/atom. For the formation energy, the calculation gives -10.6 kcal/mol of atoms. The electronic total energy comes out at -6.237 eV per atom. As for the crystal system: orthorhombic.

Cell lengths 7.3686, 9.8741, 6.5058 Å; angles 90.00, 90.00, 90.00 degrees
Element x y z (fractional)
Nd1 0.1763 0.0658 0.1720
Nd2 0.1763 0.4342 0.1720
Nd3 0.3237 0.5658 0.6720
Nd4 0.3237 0.9342 0.6720
Nd5 0.6763 0.0658 0.3280
Nd6 0.6763 0.4342 0.3280
Nd7 0.8237 0.5658 0.8280
Nd8 0.8237 0.9342 0.8280
Sm1 0.0364 0.2500 0.6455
Sm2 0.4636 0.7500 0.1455
Sm3 0.5364 0.2500 0.8545
Sm4 0.9636 0.7500 0.3545
Ir1 0.1202 0.7500 0.9442
Ir2 0.3797 0.2500 0.4442
Ir3 0.6202 0.7500 0.5558
Ir4 0.8798 0.2500 0.0558